The following is a DFT calculation (PBE) of La3HoHg2 after structural relaxation.

Cell and atoms, written as POSCAR:
```
La3HoHg2
1.0
-3.755 7.575 3.818
3.755 -7.575 3.818
3.755 7.575 -3.818
La Ho Hg
6 2 4
direct
0.022 0.750 0.272
0.250 0.250 0.000
0.478 0.750 0.728
0.522 0.250 0.272
0.750 0.750 0.000
0.978 0.250 0.728
0.000 0.500 0.500
0.500 0.000 0.500
0.135 0.209 0.344
0.365 0.709 0.074
0.635 0.291 0.926
0.865 0.791 0.656
```

## Properties
Size of the total moment in μB per cell: 0.1
Energy relative to the elements in eV per atom: -0.091
Mass density in kg/m3: 7513
SG: Ibam, No. 72
Energy above the lowest structure with this stoichiometry in meV/atom: 245.3